TbSiAu2, optimized geometry, DFT PBE; energy = -4.64 eV/atom
1.0
-4.278 -0.936 1.389
0.361 1.216 -4.540
2.724 -3.794 -0.637
Tb Si Au
1 1 2
Cartesian
0.240 -2.340 -3.149
-1.491 -1.406 -0.903
-1.274 -4.155 -1.268
-2.598 -1.349 -3.454

Zn12Cu2Au5, optimized geometry, DFT PBE; energy relative to the elements = -0.07 eV/atom
1.0
-4.813 -1.911 -1.104
4.377 -0.386 -5.713
3.045 -8.710 1.803
Zn Cu Au
12 2 5
Cartesian
0.230 -4.249 -6.343
5.248 -8.185 -2.248
2.799 -9.157 -2.810
3.778 -3.946 -3.327
1.386 -4.896 -3.876
4.214 -7.837 -4.802
-1.605 -3.170 -0.213
-1.169 -7.061 -1.687
1.222 -6.111 -1.139
-2.639 -2.822 -2.767
-0.191 -1.850 -2.205
2.379 -6.758 1.328
-3.610 -1.434 -0.828
-1.203 -0.478 -0.276
3.227 -6.502 -2.809
1.767 -2.174 -3.940
1.523 -4.355 0.902
0.842 -8.833 -1.075
-0.618 -4.505 -2.205

ReTc2AgPd, optimized geometry, DFT PBE; energy relative to the elements = 2.70 eV/atom
1.0
4.675 0.000 0.000
0.000 4.632 0.000
0.000 0.000 4.675
Re Pd Ag Tc
1 1 1 2
Cartesian
2.337 2.316 2.337
0.000 2.316 0.000
0.000 0.000 0.000
0.000 0.000 2.337
2.337 0.000 0.000

Tb2Nd3PuTe6, optimized geometry, DFT PBE; energy = -6.08 eV/atom
1.0
-3.663 1.460 1.983
3.351 -2.386 7.945
4.866 8.424 -2.128
Tb Nd Pu Te
2 3 1 6
Cartesian
2.457 5.281 5.561
2.096 2.217 2.239
-0.156 -0.463 4.964
0.754 6.454 1.552
3.800 1.044 6.249
-1.832 0.730 0.992
5.081 3.945 6.478
1.135 2.470 5.189
-0.527 3.554 1.322
0.837 -0.558 1.956
3.717 8.056 5.845
3.419 5.028 2.611